# 1
Below is a relaxed BiH2Os2 crystal, with properties calculated at the GGA-PBE level.

Lattice parameters (Å, degrees): 6.5044 6.5044 3.0245 90.00 90.00 90.00
Closest atoms and distances in Å follow each position.
Positions (direct):
Bi: 0.0000 0.0000 0.0000  4 H 2.79, 8 Os 2.95, 2 Bi 3.02
Bi: 0.5000 0.5000 0.0000  4 H 2.79, 8 Os 2.95, 2 Bi 3.02
H: 0.0786 0.4214 0.0000  1 H 1.45
H: 0.4214 0.9214 0.0000  1 H 1.45
H: 0.5786 0.0786 0.0000  1 H 1.45
H: 0.9214 0.5786 0.0000  1 H 1.45
Os: 0.1341 0.6341 0.5000  4 H 2.08
Os: 0.3659 0.1341 0.5000  4 H 2.08
Os: 0.6341 0.8659 0.5000  4 H 2.08
Os: 0.8659 0.3659 0.5000  4 H 2.08

Calculated values
The space-group type is P4/mbm (127). The energy above the most stable polymorph in this dataset is 404 meV/atom.



# 2
Below is a relaxed BiH2Os crystal, with properties calculated at the GGA-PBE level.

Lattice parameters (Å, degrees): 4.4375 4.4375 10.5928 90.00 90.00 90.00
Closest atoms and distances in Å follow each position.
Positions (direct):
Bi: 0.0000 0.0000 0.0000  8 H 2.78-2.84
Bi: 0.0000 0.5000 0.2500  8 H 2.78-2.84
Bi: 0.5000 0.0000 0.7500  8 H 2.78-2.84
Bi: 0.5000 0.5000 0.5000  8 H 2.78-2.84
H: 0.0084 0.2500 0.6250  2 Os 1.73
H: 0.2500 0.5084 0.8750  2 Os 1.73
H: 0.2500 0.9916 0.3750  2 Os 1.73
H: 0.4916 0.2500 0.1250  2 Os 1.73
H: 0.5084 0.7500 0.1250  2 Os 1.73
H: 0.7500 0.0084 0.3750  2 Os 1.73
H: 0.7500 0.4916 0.8750  2 Os 1.73
H: 0.9916 0.7500 0.6250  2 Os 1.73
Os: 0.0000 0.0000 0.5000  4 H 1.73
Os: 0.0000 0.5000 0.7500  4 H 1.73
Os: 0.5000 0.0000 0.2500  4 H 1.73
Os: 0.5000 0.5000 0.0000  4 H 1.73

Calculated values
The space-group type is I-42d (122). The energy above the most stable polymorph in this dataset is 0 meV/atom.